Ta2AlPt9 | PBE | relaxed

Results
The energy of formation is -0.69 eV per atom. The value obtained for the total energy is -7.50 eV per atom. The calculation puts the spin magnetization at 0.00 μB per cell.

Structure (CIF):
```
data_Ta2AlPt9
_space_group_name_H-M_alt 'P 4/m m m'
_space_group_IT_number 123
_space_group_name_Hall '-P 4 2'
_cell_length_a 3.978
_cell_length_b 3.978
_cell_length_c 11.921
_cell_angle_alpha 90.00
_cell_angle_beta 90.00
_cell_angle_gamma 90.00
loop_
_atom_site_label
_atom_site_fract_x
_atom_site_fract_y
_atom_site_fract_z
_atom_site_occupancy
Ta1 0.000 0.000 0.173 1
Al1 0.000 0.000 0.500 1
Pt1 0.000 0.500 0.000 1
Pt2 0.000 0.500 0.332 1
Pt3 0.500 0.500 0.166 1
Pt4 0.500 0.500 0.500 1
```